Density functional theory data (PBE-GGA) for crystalline ZnAg4Au2 at its relaxed geometry.

Properties
- density of states at the Fermi level (states/eV per atom) = 0.26
- excess energy over the best structure of this formula in the dataset (meV/atom) = 0
- formation energy from the elements (eV per atom) = -0.045

a b c (Å): 5.7824 8.2784 7.9975
angles (deg): 96.12 125.26 115.97
Closest atoms and distances in Å follow each position.
Element x y z (fractional)
Au  0.7747  0.9758  0.2592  1 Zn 2.72, 7 Ag 2.83-3.02, 2 Au 2.91-2.96
Au  0.0688  0.2777  0.6844  4 Au 2.88-2.92, 7 Ag 2.89-3.05, 1 Zn 3.00
Au  0.5533  0.2441  0.6869  2 Zn 2.71-2.76, 6 Ag 2.88-3.01, 3 Au 2.88-2.96
Au  0.7064  0.4190  0.3904  2 Zn 2.74-2.89, 8 Ag 2.84-2.97, 1 Au 2.89
Ag  0.2666  0.9877  0.2397  1 Zn 2.75, 5 Au 2.87-3.05, 5 Ag 2.88-2.97
Ag  0.8383  0.5608  0.1104  1 Zn 2.82, 8 Ag 2.88-3.00, 3 Au 2.93-2.99
Ag  0.6181  0.8454  0.5424  3 Zn 2.83-2.90, 7 Ag 2.89-2.99, 2 Au 2.90-3.02
Ag  0.3275  0.5514  0.1068  2 Zn 2.76-2.90, 4 Au 2.83-2.94, 5 Ag 2.84-2.99
Ag  0.4118  0.1142  0.9580  3 Zn 2.85-2.93, 5 Ag 2.88-2.99, 4 Au 2.88-2.97
Ag  0.4853  0.7177  0.8199  2 Zn 2.77-2.81, 3 Au 2.86-2.96, 6 Ag 2.89-3.01
Ag  0.9628  0.6857  0.8146  8 Ag 2.84-3.00, 3 Au 2.88-3.08, 1 Zn 3.04
Ag  0.1969  0.4038  0.3894  1 Zn 2.84, 5 Au 2.88-3.01, 6 Ag 2.91-3.01
Zn  0.9452  0.1378  0.9741  3 Au 2.71-3.00, 7 Ag 2.75-2.93
Zn  0.0944  0.8288  0.5238  3 Au 2.72-2.76, 7 Ag 2.77-3.04